(1)
VASP calculation (PBE-GGA) on crystalline NaH3Pd at its relaxed geometry.

a = 8.6976 Å, b = 6.2853 Å, c = 6.2853 Å
α = 79.47°, β = 120.29°, γ = 59.71°
Last column: nearest neighbours and their distance in Å.
Positions (direct):
H 0.8891 0.4053 0.5931  2 Pd 1.79-1.94
H 0.0658 0.4443 0.1019  1 H 0.91
H 0.0037 0.8933 0.6493  2 Pd 1.79-1.80
H 0.1109 0.5947 0.4069  2 Pd 1.79-1.94
H 0.9963 0.1067 0.3507  2 Pd 1.79-1.80
H 0.5658 0.3981 0.0557  1 H 0.91
H 0.5037 0.8507 0.6067  2 Pd 1.79-1.80
H 0.4342 0.6019 0.9443  1 H 0.91
H 0.9342 0.5557 0.8981  1 H 0.91
H 0.4963 0.1493 0.3933  2 Pd 1.79-1.80
H 0.3891 0.9069 0.0947  2 Pd 1.79-1.94
H 0.6109 0.0931 0.9053  2 Pd 1.79-1.94
Pd 0.3370 0.2267 0.5130  5 H 1.79-1.94
Pd 0.8370 0.9870 0.2733  5 H 1.79-1.94
Pd 0.6630 0.7733 0.4870  5 H 1.79-1.94
Pd 0.1630 0.0130 0.7267  5 H 1.79-1.94
Na 0.7500 0.6118 0.1118  8 H 2.25-2.50
Na 0.2500 0.3882 0.8882  8 H 2.25-2.50
Na 0.7500 0.1840 0.6840  4 H 2.20-2.41
Na 0.2500 0.8160 0.3160  4 H 2.20-2.41

Output
The calculation puts the total energy at -3.43 eV/atom. The density of states at the Fermi level is 1.580 states/eV per cell. The total magnetization is 0.00 μB/f.u.

(2)
VASP calculation (PBE-GGA) on crystalline TbPa2BeN5 at its relaxed geometry.

a = 3.3092 Å, b = 8.0293 Å, c = 9.0868 Å
α = 90.00°, β = 90.00°, γ = 101.89°
Last column: nearest neighbours and their distance in Å.
Positions (direct):
Pa 0.8955 0.7911 0.7994  4 N 2.25-2.28
Pa 0.9046 0.8092 0.1816  7 N 2.33-2.51
Pa 0.0954 0.1908 0.6816  7 N 2.33-2.51
Pa 0.1045 0.2089 0.2994  4 N 2.25-2.28
Be 0.4549 0.9098 0.4601  4 N 1.76-1.97
Be 0.5451 0.0902 0.9601  4 N 1.76-1.97
N 0.4922 0.9845 0.7893  1 Be 1.76
N 0.9688 0.9376 0.5417  2 Be 1.83
N 0.6404 0.2808 0.5189  2 Pa 2.33, 1 Tb 2.36
N 0.3485 0.6971 0.3458  1 Be 1.97
N 0.6515 0.3029 0.8458  1 Be 1.97
N 0.6818 0.3637 0.1908  2 Pa 2.28, 2 Tb 2.46
N 0.3182 0.6363 0.6908  2 Pa 2.28, 2 Tb 2.46
N 0.0312 0.0624 0.0417  2 Be 1.83
N 0.5078 0.0155 0.2893  1 Be 1.76
N 0.3596 0.7192 0.0189  2 Pa 2.33, 1 Tb 2.36
Tb 0.2097 0.4194 0.9963  5 N 2.33-2.46
Tb 0.7903 0.5806 0.4963  5 N 2.33-2.46

Output
For the uncorrected formation energy, the calculation gives -1289 meV/atom. The calculation puts the total energy at -8.95 eV/atom. The total magnetization is 0.00 μB/f.u.

(3)
VASP calculation (PBE-GGA) on crystalline GaPdBr at its relaxed geometry.

a = 9.2787 Å, b = 3.7539 Å, c = 8.5927 Å
α = 90.00°, β = 92.33°, γ = 90.00°
Last column: nearest neighbours and their distance in Å.
Positions (direct):
Br 0.5349 0.0000 0.6289  1 Ga 2.66, 2 Pd 2.73
Br 0.5349 0.5000 0.1289  1 Ga 2.66, 2 Pd 2.73
Br 0.1951 0.0000 0.3356  1 Ga 2.41
Br 0.1951 0.5000 0.8356  1 Ga 2.41
Ga 0.0137 0.5000 0.6266  1 Br 2.41, 3 Pd 2.46-2.57
Ga 0.0137 0.0000 0.1266  1 Br 2.41, 3 Pd 2.46-2.57
Ga 0.7667 0.0000 0.8222  5 Pd 2.55-2.59, 1 Br 2.66
Ga 0.7667 0.5000 0.3222  5 Pd 2.55-2.59, 1 Br 2.66
Pd 0.7489 0.0000 0.1218  4 Ga 2.46-2.59, 2 Br 2.73
Pd 0.9244 0.0000 0.4435  4 Ga 2.57, 1 Br 2.71
Pd 0.7489 0.5000 0.6218  4 Ga 2.46-2.59, 2 Br 2.73
Pd 0.9244 0.5000 0.9435  4 Ga 2.57, 1 Br 2.71

Output
For the uncorrected formation energy, the calculation gives -471 meV/atom. The calculation puts the total energy at -3.77 eV/atom. The density of states at the Fermi level is 0.755 states/eV per cell. The total magnetization is 0.00 μB/f.u.

(4)
VASP calculation (PBE-GGA) on crystalline LaDy2CdHg4 at its relaxed geometry.

a = 5.1147 Å, b = 5.1147 Å, c = 9.7519 Å
α = 74.80°, β = 74.80°, γ = 60.00°
Last column: nearest neighbours and their distance in Å.
Positions (direct):
La 0.0000 0.0000 0.0000  8 Hg 3.26-3.47
Dy 0.7623 0.7623 0.7132  7 Hg 3.06-3.22
Dy 0.2377 0.2377 0.2868  7 Hg 3.06-3.22
Cd 0.5000 0.5000 0.5000  8 Hg 3.18-3.26, 6 Dy 3.56
Hg 0.8757 0.8757 0.3730  4 Dy 3.06-3.16, 3 Cd 3.18
Hg 0.3830 0.3830 0.8511  3 Dy 3.22, 3 La 3.26, 1 Cd 3.26
Hg 0.1243 0.1243 0.6270  4 Dy 3.06-3.16, 3 Cd 3.18
Hg 0.6170 0.6170 0.1489  3 Dy 3.22, 3 La 3.26, 1 Cd 3.26

Output
The calculation puts the total energy at -2.44 eV/atom. The density of states at the Fermi level is 5.446 states/eV per cell. The value obtained for the energy of formation from the pure elements is -0.411 eV per atom. The total magnetization is 0.00 μB/f.u.